(1)
## Pm4ZnGa2 (PBE)

Data for Pm4ZnGa2 after structural relaxation.

**Density of states at the Fermi level**: 6.901 states/eV/f.u.

The structure in CIF format:
```
data_Pm4ZnGa2
_cell_length_a 5.1469
_cell_length_b 5.1469
_cell_length_c 24.8424
_cell_angle_alpha 90.00
_cell_angle_beta 90.00
_cell_angle_gamma 120.00
_space_group_name_H-M_alt 'R -3 m'
_space_group_IT_number 166
_space_group_name_Hall '-R 3 2"'
loop_
_atom_site_label
_atom_site_fract_x
_atom_site_fract_y
_atom_site_fract_z
_atom_site_occupancy
Pm1 0.0000 0.0000 0.1209 1
Pm2 0.0000 0.0000 0.3723 1
Zn1 0.0000 0.0000 0.5000 1
Ga1 0.0000 0.0000 0.2478 1
```

=====

(2)
## PmZnGa4 (PBE)

Data for PmZnGa4 after structural relaxation.

**Density of states at the Fermi level**: 1.724 states/eV/f.u.

The structure in CIF format:
```
data_PmZnGa4
_cell_length_a 4.5210
_cell_length_b 7.1475
_cell_length_c 7.9081
_cell_angle_alpha 90.00
_cell_angle_beta 90.00
_cell_angle_gamma 90.00
_space_group_name_H-M_alt 'I m m m'
_space_group_IT_number 71
_space_group_name_Hall '-I 2 2'
loop_
_atom_site_label
_atom_site_fract_x
_atom_site_fract_y
_atom_site_fract_z
_atom_site_occupancy
Pm1 0.0000 0.0000 0.0000 1
Zn1 0.0000 0.5000 0.0000 1
Ga1 0.0000 0.3060 0.3056 1
```

=====

(3)
## Pm3Zn3Ga8 (PBE)

Data for Pm3Zn3Ga8 after structural relaxation.

**Density of states at the Fermi level**: 4.166 states/eV/f.u.

The structure in CIF format:
```
data_Pm3Zn3Ga8
_cell_length_a 4.2761
_cell_length_b 10.0540
_cell_length_c 12.6644
_cell_angle_alpha 90.00
_cell_angle_beta 90.00
_cell_angle_gamma 90.00
_space_group_name_H-M_alt 'I m m m'
_space_group_IT_number 71
_space_group_name_Hall '-I 2 2'
loop_
_atom_site_label
_atom_site_fract_x
_atom_site_fract_y
_atom_site_fract_z
_atom_site_occupancy
Pm1 0.0000 0.0000 0.0000 1
Pm2 0.0000 0.0000 0.3159 1
Zn1 0.0000 0.2093 0.5000 1
Zn2 0.0000 0.5000 0.0000 1
Ga1 0.0000 0.2780 0.1385 1
Ga2 0.0000 0.3714 0.3397 1
```

=====

(4)
## Pm4ZnGa (PBE)

Data for Pm4ZnGa after structural relaxation.

**Density of states at the Fermi level**: 7.686 states/eV/f.u.

The structure in CIF format:
```
data_Pm4ZnGa
_cell_length_a 11.7964
_cell_length_b 3.6549
_cell_length_c 8.7093
_cell_angle_alpha 90.00
_cell_angle_beta 106.59
_cell_angle_gamma 90.00
_space_group_name_H-M_alt 'C 1 m 1'
_space_group_IT_number 8
_space_group_name_Hall 'C -2y'
loop_
_atom_site_label
_atom_site_fract_x
_atom_site_fract_y
_atom_site_fract_z
_atom_site_occupancy
Pm1 0.0000 0.0000 0.0000 1
Pm2 0.0067 0.5000 0.6104 1
Pm3 0.2368 0.5000 0.2925 1
Pm4 0.2441 0.0000 0.9093 1
Zn1 0.3054 0.5000 0.6601 1
Ga1 0.4380 0.0000 0.2445 1
```

=====

(5)
## Pm2Zn12Ga5 (PBE)

Data for Pm2Zn12Ga5 after structural relaxation.

**Density of states at the Fermi level**: 7.917 states/eV/f.u.

The structure in CIF format:
```
data_Pm2Zn12Ga5
_cell_length_a 9.3920
_cell_length_b 9.3920
_cell_length_c 12.9423
_cell_angle_alpha 90.00
_cell_angle_beta 90.00
_cell_angle_gamma 120.00
_space_group_name_H-M_alt 'R -3 m'
_space_group_IT_number 166
_space_group_name_Hall '-R 3 2"'
loop_
_atom_site_label
_atom_site_fract_x
_atom_site_fract_y
_atom_site_fract_z
_atom_site_occupancy
Pm1 0.0000 0.0000 0.1685 1
Zn1 0.0000 0.3142 0.5000 1
Zn2 0.0173 0.5086 0.6579 1
Ga1 0.0000 0.0000 0.4018 1
Ga2 0.0000 0.5000 0.0000 1
```

=====

(6)
## Pm3Zn2Ga7 (PBE)

Data for Pm3Zn2Ga7 after structural relaxation.

**Density of states at the Fermi level**: 5.223 states/eV/f.u.

The structure in CIF format:
```
data_Pm3Zn2Ga7
_cell_length_a 4.2583
_cell_length_b 4.2711
_cell_length_c 13.7132
_cell_angle_alpha 90.00
_cell_angle_beta 98.87
_cell_angle_gamma 90.00
_space_group_name_H-M_alt 'P 1 2/m 1'
_space_group_IT_number 10
_space_group_name_Hall '-P 2y'
loop_
_atom_site_label
_atom_site_fract_x
_atom_site_fract_y
_atom_site_fract_z
_atom_site_occupancy
Pm1 0.0000 0.0000 0.0000 1
Pm2 0.3156 0.5000 0.6312 1
Zn1 0.1348 0.0000 0.2727 1
Ga1 0.0825 0.5000 0.1676 1
Ga2 0.2269 0.0000 0.4535 1
Ga3 0.4177 0.0000 0.8334 1
Ga4 0.5000 0.5000 0.0000 1
```

=====

(7)
## Pm3ZnGa (PBE)

Data for Pm3ZnGa after structural relaxation.

**Density of states at the Fermi level**: 5.332 states/eV/f.u.

The structure in CIF format:
```
data_Pm3ZnGa
_cell_length_a 5.1990
_cell_length_b 19.9098
_cell_length_c 5.1950
_cell_angle_alpha 90.00
_cell_angle_beta 90.00
_cell_angle_gamma 90.00
_space_group_name_H-M_alt 'C m c m'
_space_group_IT_number 63
_space_group_name_Hall '-C 2c 2'
loop_
_atom_site_label
_atom_site_fract_x
_atom_site_fract_y
_atom_site_fract_z
_atom_site_occupancy
Pm1 0.0000 0.0687 0.2500 1
Pm2 0.0000 0.2496 0.2500 1
Pm3 0.0000 0.4302 0.2500 1
Zn1 0.0000 0.3420 0.7500 1
Ga1 0.0000 0.1597 0.7500 1
```

=====

(8)
## PmZn9Ga3 (PBE)

Data for PmZn9Ga3 after structural relaxation.

**Density of states at the Fermi level**: 3.994 states/eV/f.u.

The structure in CIF format:
```
data_PmZn9Ga3
_cell_length_a 5.6796
_cell_length_b 12.3364
_cell_length_c 6.8447
_cell_angle_alpha 90.00
_cell_angle_beta 113.73
_cell_angle_gamma 90.00
_space_group_name_H-M_alt 'C 1 2/m 1'
_space_group_IT_number 12
_space_group_name_Hall '-C 2y'
loop_
_atom_site_label
_atom_site_fract_x
_atom_site_fract_y
_atom_site_fract_z
_atom_site_occupancy
Pm1 0.0000 0.0000 0.0000 1
Zn1 0.0000 0.5000 0.5000 1
Zn2 0.1056 0.3919 0.2186 1
Zn3 0.1934 0.1778 0.3581 1
Ga1 0.0000 0.0000 0.5000 1
Ga2 0.2500 0.2500 0.0000 1
```

=====

Number 1: calculated formation energy -0.379 eV/atom. Number 2: calculated formation energy -0.277 eV/atom. Number 3: calculated formation energy -0.474 eV/atom. Number 4: calculated formation energy -0.101 eV/atom. Number 5: calculated formation energy -0.200 eV/atom. Number 6: calculated formation energy -0.510 eV/atom. Number 7: calculated formation energy -0.340 eV/atom. Number 8: calculated formation energy -0.140 eV/atom.